CrRu2Rh3 | the Alexandria database | GGA-PBE | optimized geometry; ΔH_f (0 K) = -0.019 eV/atom
1.0
7.556 -1.351 0.000
7.556 1.351 0.000
-4.791 0.000 8.054
Cr Ru Rh
2 4 6
Direct
0.082 0.082 0.146
0.918 0.918 0.854
0.242 0.242 0.118
0.424 0.424 0.097
0.576 0.576 0.903
0.758 0.758 0.882
0.086 0.086 0.658
0.258 0.258 0.637
0.418 0.418 0.602
0.582 0.582 0.398
0.742 0.742 0.363
0.914 0.914 0.342

---

BaMg3Si | the Alexandria database | GGA-PBE | optimized geometry; energy above the lowest structure with this stoichiometry = 0.0 meV per atom
1.0
5.339 0.000 0.000
0.000 5.339 0.000
0.000 0.000 5.339
Ba Mg Si
1 3 1
Direct
0.000 0.000 0.000
0.000 0.500 0.500
0.500 0.000 0.500
0.500 0.500 0.000
0.500 0.500 0.500

---

LaPr3Y4 | the Alexandria database | GGA-PBE | optimized geometry; ΔH_f (0 K) = 0.126 eV/atom; energy above the lowest structure with this stoichiometry = 100.7 meV per atom
1.0
3.477 0.000 0.000
0.000 11.834 0.000
0.000 0.000 13.399
La Pr Y
2 6 8
Direct
0.000 0.000 0.000
0.500 0.500 0.500
0.000 0.000 0.500
0.000 0.500 0.258
0.000 0.500 0.742
0.500 0.000 0.242
0.500 0.000 0.758
0.500 0.500 0.000
0.000 0.251 0.134
0.000 0.251 0.866
0.000 0.749 0.134
0.000 0.749 0.866
0.500 0.249 0.366
0.500 0.249 0.634
0.500 0.751 0.366
0.500 0.751 0.634

---

no.,ρ (kg/m³),raw total energy (eV per cell)
1,11367,-100.682
2,2600,-11.591
3,5526,-88.226